# Er2TeC

Er2TeC after structural relaxation (GGA-PBE, the Alexandria database).

```
Er2TeC
1.0
3.7728 0.0000 0.0000
1.8864 3.2674 0.0000
1.8864 1.0891 7.0424
Er Te C
2 1 1
Cartesian
1.8864 1.0891 5.7512 Er
1.8864 1.0891 1.3037 Er
3.7728 2.1782 3.5313 Te
5.6592 3.2674 7.0198 C
```

formation energy from raw total energies = -840 meV per atom
final energy = -6.21 eV/atom

# Be2CrAg

Be2CrAg after structural relaxation (GGA-PBE, the Alexandria database).

```
Be2CrAg
1.0
2.6449 0.0000 0.0000
0.0000 2.6449 0.0000
0.0000 0.0000 6.4709
Cr Ag Be
1 1 2
Cartesian
0.0000 0.0000 2.9127 Cr
1.3224 1.3224 5.0636 Ag
0.0000 0.0000 0.3002 Be
1.3224 1.3224 1.4299 Be
```

excess energy over the best structure of this formula in the dataset = 72 meV/atom
calculated formation energy = 1.13 eV per formula unit
final energy = -4.70 eV/atom

# YZnAuO4

YZnAuO4 after structural relaxation (GGA-PBE, the Alexandria database).

```
YZnAuO4
1.0
6.2766 0.0000 0.0000
-3.1383 6.0765 -0.2804
0.0000 -3.5296 5.8045
Y Zn Au O
2 2 2 8
Cartesian
3.1383 -1.7648 2.9023 Y
3.1383 0.0000 0.0000 Y
3.1383 4.3062 0.6308 Zn
0.0000 -1.7593 4.8933 Zn
1.5692 1.2734 2.7621 Au
-1.5692 1.2734 2.7621 Au
3.1383 0.4498 3.8187 O
-1.4070 4.8047 0.9339 O
1.4070 4.8047 0.9339 O
3.1383 1.8327 1.5446 O
0.0000 0.7142 3.9795 O
4.5453 -2.2578 4.5902 O
1.7313 -2.2578 4.5902 O
0.0000 2.0971 1.7054 O
```

formation energy from raw total energies = -1548 meV per atom
final energy = -5.96 eV/atom

# SbPdPt4

SbPdPt4 after structural relaxation (GGA-PBE, the Alexandria database).

```
SbPdPt4
1.0
3.9458 0.4791 -2.8532
-2.1000 4.7691 -3.5704
0.1700 -1.4210 11.3609
Sb Pd Pt
2 2 8
Cartesian
3.1194 0.9830 -0.5198 Sb
-1.1035 2.8443 5.4571 Sb
3.0671 0.2241 5.0879 Pd
-1.0512 3.6031 -0.1506 Pd
0.9847 2.0808 0.9961 Pt
3.0552 -0.1806 7.9208 Pt
0.9518 2.4327 -1.7940 Pt
3.0169 0.4950 2.2774 Pt
-1.0010 3.3323 2.6599 Pt
1.0640 1.3946 6.7313 Pt
-1.0393 4.0079 -2.9835 Pt
1.0312 1.7464 3.9412 Pt
```

formation energy from raw total energies = -138 meV per atom
excess energy over the best structure of this formula in the dataset = 0 meV/atom
final energy = -5.72 eV/atom

# NiRh2Au

NiRh2Au after structural relaxation (GGA-PBE, the Alexandria database).

```
NiRh2Au
1.0
-4.5029 -0.0160 -1.3552
-3.8633 -2.6081 -0.6209
-2.1602 0.6580 4.2040
Au Ni Rh
1 1 2
Cartesian
-5.2661 -0.9649 1.1809 Au
-7.8665 -1.4598 1.6987 Ni
-0.0426 -0.0021 0.0296 Rh
-2.6144 -0.5225 0.4328 Rh
```

excess energy over the best structure of this formula in the dataset = 68 meV/atom
calculated formation energy = 0.66 eV per formula unit
final energy = -5.78 eV/atom

# ZrSnBi2

ZrSnBi2 after structural relaxation (GGA-PBE, the Alexandria database).

```
ZrSnBi2
1.0
-1.1216 -3.2849 -1.8393
3.5564 3.1671 -3.4750
8.0304 -4.8623 3.7871
Zr Sn Bi
2 2 4
Cartesian
7.1094 -4.4494 -0.4944 Zr
3.3558 -0.5308 -1.0328 Zr
4.1117 -1.5024 -3.8831 Sn
6.3535 -3.4778 2.3559 Sn
6.4191 -1.4778 -1.1902 Bi
4.0461 -3.5023 -0.3370 Bi
9.9656 -3.6252 0.4823 Bi
0.4997 -1.3550 -2.0095 Bi
```

calculated formation energy = -0.64 eV per formula unit
final energy = -5.24 eV/atom

# ScCr2Te

ScCr2Te after structural relaxation (GGA-PBE, the Alexandria database).

```
ScCr2Te
1.0
5.5650 -0.0800 0.0217
-2.4916 4.9766 0.0217
0.8018 1.2775 2.8744
Cr Sc Te
2 1 1
Cartesian
0.0000 0.0000 0.0000 Cr
1.5367 2.4483 0.0217 Cr
3.1834 0.5988 1.4481 Sc
-0.8449 3.1271 1.4481 Te
```

formation energy from raw total energies = 406 meV per atom
final energy = -6.77 eV/atom

# CuTe

CuTe after structural relaxation (GGA-PBE, the Alexandria database).

```
CuTe
1.0
-4.1947 0.6364 -3.9339
0.4728 -5.7664 0.0330
-2.7589 -0.2095 2.9079
Cu Te
3 3
Cartesian
-2.0973 0.3182 -1.9670 Cu
0.2364 -2.8832 0.0165 Cu
-1.8609 -2.5650 -1.9504 Cu
0.0000 0.0000 0.0000 Te
-2.3453 -3.8977 0.2643 Te
-4.1355 -1.4419 -1.2573 Te
```

formation energy from raw total energies = 147 meV per atom
final energy = -3.47 eV/atom

# Co2ReSbPt

Co2ReSbPt after structural relaxation (GGA-PBE, the Alexandria database).

```
Co2ReSbPt
1.0
4.6027 0.0000 0.0000
0.0000 4.8412 0.0000
0.0000 0.0000 4.6027
Re Co Pt Sb
1 2 1 1
Cartesian
0.0000 2.4206 0.0000 Re
0.0000 0.0000 2.3014 Co
2.3014 0.0000 0.0000 Co
0.0000 0.0000 0.0000 Pt
2.3014 2.4206 2.3014 Sb
```

formation energy from raw total energies = 1410 meV per atom
final energy = -5.95 eV/atom

# V5Ni4Pd

V5Ni4Pd after structural relaxation (GGA-PBE, the Alexandria database).

```
V5Ni4Pd
1.0
-0.5600 -2.3619 -0.8437
0.7964 -0.9872 2.2351
-17.3870 1.6491 6.9237
V Ni Pd
5 4 1
Cartesian
-1.7786 -1.4947 1.4510 V
-5.1750 -1.1726 2.8034 V
-8.5753 -0.8500 4.1575 V
-11.9757 -0.5275 5.5115 V
-15.3720 -0.2054 6.8640 V
-3.5799 0.3395 1.4256 Ni
-6.9917 0.6631 2.7841 Ni
-10.3953 0.9860 4.1395 Ni
-13.8071 1.3096 5.4981 Ni
0.0000 0.0000 0.0000 Pd
```

calculated formation energy = -1.76 eV per formula unit
final energy = -7.57 eV/atom

# ZrSb2Ir

ZrSb2Ir after structural relaxation (GGA-PBE, the Alexandria database).

```
ZrSb2Ir
1.0
-0.7327 1.4107 -3.9336
-3.1428 0.3055 0.6949
0.9803 5.8486 1.9149
Ir Sb Zr
1 2 1
Cartesian
-1.9882 5.3209 -0.0095 Ir
-2.3614 0.2407 0.5262 Sb
-1.8626 3.1418 1.4737 Sb
-0.9070 2.2439 -1.3144 Zr
```

formation energy from raw total energies = -151 meV per atom
excess energy over the best structure of this formula in the dataset = 215 meV/atom
final energy = -6.56 eV/atom

# Y6TlAu5

Y6TlAu5 after structural relaxation (GGA-PBE, the Alexandria database).

```
Y6TlAu5
1.0
5.0470 -0.3271 0.8348
-0.0206 6.7940 2.7864
1.1762 0.3559 8.8176
Y Tl Au
6 1 5
Cartesian
4.5767 3.7483 5.2968 Y
4.5866 0.4293 3.9358 Y
3.6846 5.2075 11.2915 Y
2.5180 1.6153 1.1473 Y
1.6159 6.3935 8.5029 Y
1.6259 3.0744 7.1419 Y
0.0000 0.0000 0.0000 Tl
4.1279 1.1136 6.9938 Au
2.0676 2.2732 4.1495 Au
-0.0103 3.3970 1.3932 Au
4.1349 4.5496 8.2893 Au
2.0746 5.7092 5.4450 Au
```

calculated formation energy = -9.22 eV per formula unit
final energy = -5.56 eV/atom

# Sc2FeBi

Sc2FeBi after structural relaxation (GGA-PBE, the Alexandria database).

```
Sc2FeBi
1.0
8.5817 -2.9639 2.8564
9.4767 -0.8144 0.3437
8.8473 0.3926 3.4872
Sc Bi Fe
2 1 1
Cartesian
23.9367 -3.0122 5.9494 Sc
2.9689 -0.3736 0.7379 Sc
0.0000 0.0000 0.0000 Bi
13.4528 -1.6929 3.3437 Fe
```

excess energy over the best structure of this formula in the dataset = 292 meV/atom
calculated formation energy = 0.50 eV per formula unit
final energy = -6.13 eV/atom

# ErPuOsPd

ErPuOsPd after structural relaxation (GGA-PBE, the Alexandria database).

```
ErPuOsPd
1.0
-4.6620 -1.2961 -0.3665
-1.2030 -4.6963 -0.2157
-2.2351 -2.1072 3.7567
Er Os Pd Pu
1 1 1 1
Cartesian
-6.0752 -6.0746 2.3808 Er
-4.0501 -4.0497 1.5872 Os
0.0000 0.0000 0.0000 Pd
-2.0251 -2.0249 0.7936 Pu
```

calculated formation energy = -1.42 eV per formula unit
final energy = -9.18 eV/atom

# Rb3U3TcS8

Rb3U3TcS8 after structural relaxation (GGA-PBE, the Alexandria database).

```
Rb3U3TcS8
1.0
7.6102 0.0001 0.0001
-3.8050 6.5893 -0.0262
-0.0008 -4.3620 8.0785
Rb U Tc S
3 3 1 8
Cartesian
0.0000 0.0000 0.0000 Rb
-1.9025 3.2946 -0.0131 Rb
1.9026 3.2947 -0.0131 Rb
3.8047 -2.1809 4.0393 U
1.9022 1.1137 4.0262 U
-1.9029 1.1136 4.0261 U
-0.0004 -2.1810 4.0393 Tc
-0.0004 2.2053 2.4088 S
3.8047 0.0221 5.6436 S
3.8047 2.3409 2.5390 S
-0.0004 -0.1135 5.5133 S
5.8242 -1.1564 2.5528 S
-2.0198 3.3838 5.4996 S
1.7851 -1.1564 2.5527 S
2.0193 3.3838 5.4996 S
```

formation energy from raw total energies = -1205 meV per atom
final energy = -6.55 eV/atom

# Y2PaTe5

Y2PaTe5 after structural relaxation (GGA-PBE, the Alexandria database).

```
Y2PaTe5
1.0
-1.2091 4.3837 -4.0929
0.0437 -7.1151 -3.0610
-14.2621 -1.3009 2.8200
Y Pa Te
4 2 10
Cartesian
-7.3484 -1.7944 -4.3237 Y
-1.7678 -1.2853 -5.4271 Y
-8.0791 -2.2379 -0.0102 Y
-13.6596 -2.7469 1.0932 Y
-11.6264 -1.6387 -2.8932 Pa
-3.8011 -2.3935 -1.4407 Pa
-13.6141 -3.4184 -4.2121 Te
-10.0065 -3.0894 -4.9254 Te
-6.4956 -3.8303 -2.1836 Te
-1.3808 -3.3638 -3.1949 Te
-4.4470 -0.5647 -3.8638 Te
-10.9804 -3.4675 -0.4701 Te
-8.9318 -0.2019 -2.1503 Te
-14.0467 -0.6685 -1.1390 Te
-1.8133 -0.6138 -0.1218 Te
-5.4209 -0.9429 0.5916 Te
```

formation energy from raw total energies = -1110 meV per atom
final energy = -5.88 eV/atom

# Fe4Cl

Fe4Cl after structural relaxation (GGA-PBE, the Alexandria database).

```
Fe4Cl
1.0
-3.2959 -2.3892 -0.4166
2.2605 -2.7718 -1.9880
0.8785 -1.8313 3.5523
Fe Cl
4 1
Cartesian
0.0000 0.0000 0.0000 Fe
-1.2087 -2.1103 1.5679 Fe
1.5695 -2.3016 0.7822 Fe
-0.5177 -2.5805 -1.2023 Fe
-0.0784 -3.4961 0.5739 Cl
```

formation energy from raw total energies = 856 meV per atom
excess energy over the best structure of this formula in the dataset = 472 meV/atom
final energy = -6.28 eV/atom

# AcSm2Se

AcSm2Se after structural relaxation (GGA-PBE, the Alexandria database).

```
AcSm2Se
1.0
3.8962 0.0000 0.0000
1.9481 3.3742 0.0000
1.9481 1.1247 10.8495
Ac Se Sm
1 1 2
Cartesian
0.0000 0.0000 0.0000 Ac
3.8962 2.2495 5.4248 Se
1.9481 1.1247 7.2008 Sm
5.8443 3.3742 3.6487 Sm
```

formation energy from raw total energies = -644 meV per atom
excess energy over the best structure of this formula in the dataset = 177 meV/atom
final energy = -4.90 eV/atom

# Hf3SbH

Hf3SbH after structural relaxation (GGA-PBE, the Alexandria database).

```
Hf3SbH
1.0
-3.7582 2.1854 -0.8153
-0.7143 -2.5502 -3.5428
-2.2204 -2.8785 2.5197
Sb Hf H
1 3 1
Cartesian
-3.3465 -1.6216 -0.9192 Sb
-0.3572 -1.2751 -1.7714 Hf
-1.1102 -1.4392 1.2598 Hf
-1.8791 1.0927 -0.4077 Hf
0.0000 0.0000 0.0000 H
```

excess energy over the best structure of this formula in the dataset = 0 meV/atom
final energy = -7.79 eV/atom

# NbCr

NbCr after structural relaxation (GGA-PBE, the Alexandria database).

```
NbCr
1.0
-6.4980 -4.7436 -0.4904
4.3757 -5.6011 -3.8008
1.8960 -3.3304 7.0908
Nb Cr
8 8
Cartesian
-0.0844 -5.1020 1.0445 Nb
1.5075 -7.3690 1.8796 Nb
-1.2525 -7.1513 2.7198 Nb
-0.6231 -7.7277 -0.0447 Nb
-0.1975 -11.9396 2.4443 Nb
-4.8774 -5.2750 -0.0106 Nb
3.2364 -5.9150 -2.4807 Nb
1.3861 -4.2205 5.6463 Nb
-0.0389 -2.3501 0.4811 Cr
4.0773 -8.2118 2.6404 Cr
-3.0591 -7.6490 4.8129 Cr
-1.4317 -9.1393 -2.3352 Cr
-0.1520 -9.1876 1.8809 Cr
-2.3076 -6.1178 0.7501 Cr
1.4297 -6.4126 -0.3876 Cr
0.5774 -5.6321 3.3558 Cr
```

calculated formation energy = 4.25 eV per formula unit
final energy = -7.72 eV/atom